(one)
First-principles (meta-GGA SCAN) data for Cd2AgSb at its PBEsol-relaxed geometry, as listed in the Alexandria database. Values from VASP.

Quantum ESPRESSO input file:
```
&SYSTEM
  ibrav = 0, nat = 4, ntyp = 3
/
ATOMIC_SPECIES
Cd 112.41 Cd.upf
Ag 107.87 Ag.upf
Sb 121.76 Sb.upf
ATOMIC_POSITIONS crystal
Cd 0.000 0.000 0.000
Cd 0.250 0.250 0.250
Ag 0.750 0.750 0.750
Sb 0.500 0.500 0.500
CELL_PARAMETERS angstrom
0.000 3.511 3.511
3.511 0.000 3.511
3.511 3.511 0.000
```

Calculated values
volume = 86.56 Å³/f.u.
spin magnetization = 0.00 μB per formula unit

(two)
First-principles (meta-GGA SCAN) data for Cd2AgSb at its PBEsol-relaxed geometry, as listed in the Alexandria database. Values from VASP.

Quantum ESPRESSO input file:
```
&SYSTEM
  ibrav = 0, nat = 4, ntyp = 3
/
ATOMIC_SPECIES
Cd 112.41 Cd.upf
Ag 107.87 Ag.upf
Sb 121.76 Sb.upf
ATOMIC_POSITIONS crystal
Cd 0.231 0.231 0.000
Cd 0.769 0.769 0.000
Ag 0.000 0.500 0.500
Sb 0.500 0.000 0.500
CELL_PARAMETERS angstrom
-1.506 2.668 5.358
1.506 -2.668 5.358
1.506 2.668 -5.358
```

Calculated values
volume = 86.10 Å³/f.u.
spin magnetization = 0.00 μB per formula unit

In kJ/mol of atoms, relative to the most stable structure: (one) 4.1; (two) 0.0.

(one)
First-principles (meta-GGA SCAN) data for CdAg2Se at its PBEsol-relaxed geometry, as listed in the Alexandria database. Values from VASP.

Quantum ESPRESSO input file:
```
&SYSTEM
  ibrav = 0, nat = 4, ntyp = 3
/
ATOMIC_SPECIES
Cd 112.41 Cd.upf
Ag 107.87 Ag.upf
Se 78.96 Se.upf
ATOMIC_POSITIONS crystal
Cd 0.000 0.000 0.000
Ag 0.500 0.500 0.248
Ag 0.500 0.500 0.752
Se 0.000 0.000 0.500
CELL_PARAMETERS angstrom
3.591 0.000 0.000
0.000 3.591 0.000
0.000 0.000 5.740
```

Calculated values
volume = 74.04 Å³/f.u.
spin magnetization = 0.00 μB per formula unit

(two)
First-principles (meta-GGA SCAN) data for CdAg2Se at its PBEsol-relaxed geometry, as listed in the Alexandria database. Values from VASP.

Quantum ESPRESSO input file:
```
&SYSTEM
  ibrav = 0, nat = 4, ntyp = 3
/
ATOMIC_SPECIES
Cd 112.41 Cd.upf
Ag 107.87 Ag.upf
Se 78.96 Se.upf
ATOMIC_POSITIONS crystal
Cd 0.000 0.000 0.000
Ag 0.000 0.000 0.468
Ag 0.500 0.500 0.236
Se 0.500 0.500 0.712
CELL_PARAMETERS angstrom
2.104 -2.110 0.000
2.104 2.110 0.000
0.000 0.000 8.445
```

Calculated values
volume = 74.98 Å³/f.u.
spin magnetization = 0.00 μB per formula unit

In kJ/mol of atoms, relative to the most stable structure: (one) 0.0; (two) 11.9.

(one)
First-principles (meta-GGA SCAN) data for ZnCdAg at its PBEsol-relaxed geometry, as listed in the Alexandria database. Values from VASP.

Quantum ESPRESSO input file:
```
&SYSTEM
  ibrav = 0, nat = 3, ntyp = 3
/
ATOMIC_SPECIES
Zn 65.41 Zn.upf
Cd 112.41 Cd.upf
Ag 107.87 Ag.upf
ATOMIC_POSITIONS crystal
Zn 0.000 0.000 0.000
Cd 0.250 0.250 0.250
Ag 0.750 0.750 0.750
CELL_PARAMETERS angstrom
0.000 3.069 3.069
3.069 0.000 3.069
3.069 3.069 0.000
```

Calculated values
volume = 57.82 Å³/f.u.
spin magnetization = 0.00 μB per formula unit

(two)
First-principles (meta-GGA SCAN) data for ZnCdAg at its PBEsol-relaxed geometry, as listed in the Alexandria database. Values from VASP.

Quantum ESPRESSO input file:
```
&SYSTEM
  ibrav = 0, nat = 3, ntyp = 3
/
ATOMIC_SPECIES
Zn 65.41 Zn.upf
Cd 112.41 Cd.upf
Ag 107.87 Ag.upf
ATOMIC_POSITIONS crystal
Zn 0.000 0.000 0.000
Cd 0.330 0.330 0.670
Ag 0.654 0.654 0.346
CELL_PARAMETERS angstrom
0.000 2.380 6.829
1.572 0.000 6.829
1.572 2.380 0.000
```

Calculated values
volume = 51.11 Å³/f.u.
spin magnetization = 0.00 μB per formula unit

In kJ/mol of atoms, relative to the most stable structure: (one) 7.6; (two) 0.0.

(one)
First-principles (meta-GGA SCAN) data for ZnCdAg at its PBEsol-relaxed geometry, as listed in the Alexandria database. Values from VASP.

Quantum ESPRESSO input file:
```
&SYSTEM
  ibrav = 0, nat = 3, ntyp = 3
/
ATOMIC_SPECIES
Zn 65.41 Zn.upf
Cd 112.41 Cd.upf
Ag 107.87 Ag.upf
ATOMIC_POSITIONS crystal
Zn 0.000 0.000 0.000
Cd 0.330 0.330 0.000
Ag 0.648 0.648 0.000
CELL_PARAMETERS angstrom
-1.546 1.546 5.248
1.546 -1.546 5.248
1.546 1.546 -5.248
```

Calculated values
volume = 50.20 Å³/f.u.
spin magnetization = 0.00 μB per formula unit

(two)
First-principles (meta-GGA SCAN) data for ZnCdAg at its PBEsol-relaxed geometry, as listed in the Alexandria database. Values from VASP.

Quantum ESPRESSO input file:
```
&SYSTEM
  ibrav = 0, nat = 3, ntyp = 3
/
ATOMIC_SPECIES
Zn 65.41 Zn.upf
Cd 112.41 Cd.upf
Ag 107.87 Ag.upf
ATOMIC_POSITIONS crystal
Zn 0.000 0.000 0.000
Cd 0.333 0.667 0.416
Ag 0.667 0.333 0.886
CELL_PARAMETERS angstrom
4.526 0.000 0.000
-2.263 3.920 0.000
0.000 0.000 2.856
```

Calculated values
volume = 50.66 Å³/f.u.
spin magnetization = 0.00 μB per formula unit

In kJ/mol of atoms, relative to the most stable structure: (one) 0.0; (two) 1.0.

(one)
First-principles (meta-GGA SCAN) data for Zn2CdAg2 at its PBEsol-relaxed geometry, as listed in the Alexandria database. Values from VASP.

Quantum ESPRESSO input file:
```
&SYSTEM
  ibrav = 0, nat = 5, ntyp = 3
/
ATOMIC_SPECIES
Zn 65.41 Zn.upf
Cd 112.41 Cd.upf
Ag 107.87 Ag.upf
ATOMIC_POSITIONS crystal
Zn 0.250 0.750 0.500
Zn 0.750 0.250 0.500
Cd 0.000 0.000 0.000
Ag 0.397 0.397 0.000
Ag 0.603 0.603 0.000
CELL_PARAMETERS angstrom
-1.779 1.779 6.800
1.779 -1.779 6.800
1.779 1.779 -6.800
```

Calculated values
volume = 86.07 Å³/f.u.
spin magnetization = 0.00 μB per formula unit

(two)
First-principles (meta-GGA SCAN) data for Zn2CdAg2 at its PBEsol-relaxed geometry, as listed in the Alexandria database. Values from VASP.

Quantum ESPRESSO input file:
```
&SYSTEM
  ibrav = 0, nat = 10, ntyp = 3
/
ATOMIC_SPECIES
Zn 65.41 Zn.upf
Cd 112.41 Cd.upf
Ag 107.87 Ag.upf
ATOMIC_POSITIONS crystal
Zn 0.159 0.341 0.000
Zn 0.341 0.841 0.000
Zn 0.659 0.159 0.000
Zn 0.841 0.659 0.000
Cd 0.000 0.000 0.500
Cd 0.500 0.500 0.500
Ag 0.138 0.638 0.500
Ag 0.362 0.138 0.500
Ag 0.638 0.862 0.500
Ag 0.862 0.362 0.500
CELL_PARAMETERS angstrom
7.389 0.000 0.000
0.000 7.389 0.000
0.000 0.000 3.036
```

Calculated values
volume = 82.87 Å³/f.u.
spin magnetization = 0.00 μB per formula unit

In kJ/mol of atoms, relative to the most stable structure: (one) 0.8; (two) 0.0.

(one)
First-principles (meta-GGA SCAN) data for CuAgCl at its PBEsol-relaxed geometry, as listed in the Alexandria database. Values from VASP.

Quantum ESPRESSO input file:
```
&SYSTEM
  ibrav = 0, nat = 3, ntyp = 3
/
ATOMIC_SPECIES
Cu 63.55 Cu.upf
Ag 107.87 Ag.upf
Cl 35.45 Cl.upf
ATOMIC_POSITIONS crystal
Cu 0.000 0.000 0.000
Ag 0.250 0.250 0.250
Cl 0.500 0.500 0.500
CELL_PARAMETERS angstrom
0.000 3.066 3.066
3.066 0.000 3.066
3.066 3.066 0.000
```

Calculated values
volume = 57.67 Å³/f.u.
spin magnetization = 0.00 μB per formula unit

(two)
First-principles (meta-GGA SCAN) data for CuAgCl at its PBEsol-relaxed geometry, as listed in the Alexandria database. Values from VASP.

Quantum ESPRESSO input file:
```
&SYSTEM
  ibrav = 0, nat = 3, ntyp = 3
/
ATOMIC_SPECIES
Cu 63.55 Cu.upf
Ag 107.87 Ag.upf
Cl 35.45 Cl.upf
ATOMIC_POSITIONS crystal
Cu 0.000 0.000 0.000
Ag 0.667 0.333 0.669
Cl 0.333 0.667 0.276
CELL_PARAMETERS angstrom
3.156 0.000 0.000
-1.578 2.733 0.000
0.000 0.000 5.676
```

Calculated values
volume = 48.94 Å³/f.u.
spin magnetization = 0.00 μB per formula unit

In kJ/mol of atoms, relative to the most stable structure: (one) 43.8; (two) 0.0.

(one)
First-principles (meta-GGA SCAN) data for FeAgCl2 at its PBEsol-relaxed geometry, as listed in the Alexandria database. Values from VASP.

Quantum ESPRESSO input file:
```
&SYSTEM
  ibrav = 0, nat = 4, ntyp = 3
/
ATOMIC_SPECIES
Fe 55.84 Fe.upf
Ag 107.87 Ag.upf
Cl 35.45 Cl.upf
ATOMIC_POSITIONS crystal
Fe 0.000 0.000 0.000
Ag 0.500 0.500 0.000
Cl 0.147 0.647 0.500
Cl 0.853 0.353 0.500
CELL_PARAMETERS angstrom
-1.603 2.233 5.817
1.603 -2.233 5.817
1.603 2.233 -5.817
```

Calculated values
volume = 83.31 Å³/f.u.
spin magnetization = 3.00 μB per formula unit

(two)
First-principles (meta-GGA SCAN) data for FeAgCl2 at its PBEsol-relaxed geometry, as listed in the Alexandria database. Values from VASP.

Quantum ESPRESSO input file:
```
&SYSTEM
  ibrav = 0, nat = 4, ntyp = 3
/
ATOMIC_SPECIES
Fe 55.84 Fe.upf
Ag 107.87 Ag.upf
Cl 35.45 Cl.upf
ATOMIC_POSITIONS crystal
Fe 0.000 0.000 0.000
Ag 0.500 0.500 0.000
Cl 0.000 0.500 0.500
Cl 0.500 0.000 0.500
CELL_PARAMETERS angstrom
4.576 0.000 0.000
0.000 4.576 0.000
0.000 0.000 3.207
```

Calculated values
volume = 67.15 Å³/f.u.
spin magnetization = 3.06 μB per formula unit

In kJ/mol of atoms, relative to the most stable structure: (one) 0.0; (two) 20.5.